# Ti3FeCu2P6O24

A relaxed Ti3FeCu2P6O24 crystal (GGA+U, Alexandria via LeMat-Bulk).

The structure in extended XYZ format:
```
36
Lattice="8.594 -0.014 -0.010 4.273 7.456 -0.010 4.273 2.471 7.034" Properties=species:S:1:pos:R:3 pbc="T T T"
Ti 2.440 1.411 0.999
Ti 6.116 3.537 2.503
Ti 11.025 6.376 4.512
Fe 14.699 8.501 6.015
Cu 17.123 9.903 7.007
Cu 8.555 4.948 3.501
P 9.820 4.224 6.729
P 11.616 4.646 1.744
P 8.559 8.477 3.801
P 8.598 1.436 3.220
P 5.533 5.278 5.281
P 7.334 5.700 0.283
O 5.342 2.088 3.451
O 6.087 2.661 0.821
O 9.238 1.042 1.854
O 4.474 4.448 2.236
O 9.617 1.574 4.331
O 7.911 2.822 3.045
O 5.510 4.240 6.443
O 6.391 4.684 4.126
O 4.066 1.417 0.004
O 7.248 4.957 1.648
O 10.727 2.984 6.673
O 2.440 3.287 1.335
O 6.160 6.597 5.679
O 6.423 6.962 0.365
O 9.825 4.970 5.367
O 8.790 6.037 0.043
O 10.720 5.167 2.901
O 11.665 5.664 0.593
O 9.208 7.070 3.907
O 3.256 0.941 2.656
O 12.645 5.447 4.840
O 7.936 8.892 5.144
O 11.028 7.307 6.164
O 11.833 7.781 3.526
```

Values from the calculation:
Its symmetry is R3 (146). As for the total magnetization: 4.919 μB/f.u. The total energy comes out at -0.5484 Ry/atom. The calculation puts the density of states at the Fermi level at 0.399 states/eV/atom.